(1)
# Zn2Sn2Au, optimized geometry, DFT PBE-GGA
data_Zn2Sn2Au
_chemical_formula_sum 'Zn4 Sn4 Au2'
_space_group_name_H-M_alt 'I 4/m m m'
_space_group_IT_number 139
_space_group_name_Hall '-I 4 2'
_cell_length_a 4.251
_cell_length_b 4.251
_cell_length_c 12.589
_cell_angle_alpha 90.00
_cell_angle_beta 90.00
_cell_angle_gamma 90.00
loop_
_atom_site_label
_atom_site_fract_x
_atom_site_fract_y
_atom_site_fract_z
Zn1 0.000 0.000 0.093
Sn1 0.000 0.500 0.250
Au1 0.000 0.000 0.500
# E_form (kJ per mole of atoms): 26.4
# Uncorrected energy (eV/atom): -2.493
# N(E_F) (states/eV per cell): 4.30
# Calculated density (g/cm3): 8.25
# Offset from the most stable computed form (meV/atom): 258

(2)
# Mn2CoAu, optimized geometry, DFT PBE-GGA
data_Mn2CoAu
_chemical_formula_sum 'Mn2 Co1 Au1'
_space_group_name_H-M_alt 'P 4/m m m'
_space_group_IT_number 123
_space_group_name_Hall '-P 4 2'
_cell_length_a 3.019
_cell_length_b 3.019
_cell_length_c 6.283
_cell_angle_alpha 90.00
_cell_angle_beta 90.00
_cell_angle_gamma 90.00
loop_
_atom_site_label
_atom_site_fract_x
_atom_site_fract_y
_atom_site_fract_z
Mn1 0.000 0.000 0.219
Co1 0.500 0.500 0.000
Au1 0.500 0.500 0.500
# E_form (kJ per mole of atoms): 1.7
# Uncorrected energy (eV/atom): -7.163
# N(E_F) (states/eV per cell): 1.73
# Calculated density (g/cm3): 10.61
# Offset from the most stable computed form (meV/atom): 0

(3)
# LuPuGaAu, optimized geometry, DFT PBE-GGA
data_LuPuGaAu
_chemical_formula_sum 'Lu4 Pu4 Ga4 Au4'
_space_group_name_H-M_alt 'F -4 3 m'
_space_group_IT_number 216
_space_group_name_Hall 'F -4 2 3'
_cell_length_a 7.171
_cell_length_b 7.171
_cell_length_c 7.171
_cell_angle_alpha 90.00
_cell_angle_beta 90.00
_cell_angle_gamma 90.00
loop_
_atom_site_label
_atom_site_fract_x
_atom_site_fract_y
_atom_site_fract_z
Lu1 0.000 0.000 0.000
Pu1 0.000 0.000 0.500
Ga1 0.250 0.250 0.750
Au1 0.250 0.250 0.250
# E_form (kJ per mole of atoms): -46.7
# Uncorrected energy (eV/atom): -6.773
# N(E_F) (states/eV per cell): 34.32
# Calculated density (g/cm3): 12.35